# 1
# KTlPb, relaxed, DFT PBE
data_KTlPb
_cell_length_a 13.294
_cell_length_b 4.822
_cell_length_c 7.121
_cell_angle_alpha 90.00
_cell_angle_beta 92.53
_cell_angle_gamma 90.00
_symmetry_space_group_name_H-M 'C 1 m 1'
_symmetry_Int_Tables_number 8
_symmetry_space_group_name_Hall 'C -2y'
loop_
_atom_site_label
_atom_site_type_symbol
_atom_site_fract_x
_atom_site_fract_y
_atom_site_fract_z
_atom_site_occupancy
K1 K 0.000 0.000 0.000 1
K2 K 0.101 0.500 0.534 1
Tl1 Tl 0.218 0.500 0.016 1
Tl2 Tl 0.258 0.000 0.299 1
Pb1 Pb 0.315 0.000 0.739 1
Pb2 Pb 0.397 0.500 0.476 1
# E_form = -0.097 eV per atom

***

# 2
# KTl2Pb4, relaxed, DFT PBE
data_KTl2Pb4
_cell_length_a 5.788
_cell_length_b 22.130
_cell_length_c 3.565
_cell_angle_alpha 90.00
_cell_angle_beta 90.00
_cell_angle_gamma 90.00
_symmetry_space_group_name_H-M 'C m m m'
_symmetry_Int_Tables_number 65
_symmetry_space_group_name_Hall '-C 2 2'
loop_
_atom_site_label
_atom_site_type_symbol
_atom_site_fract_x
_atom_site_fract_y
_atom_site_fract_z
_atom_site_occupancy
K1 K 0.000 0.000 0.000 1
Tl1 Tl 0.000 0.424 0.500 1
Pb1 Pb 0.000 0.157 0.500 1
Pb2 Pb 0.000 0.292 0.000 1
# E_form = -0.030 eV per atom

***

# 3
# KTl3Pb3, relaxed, DFT PBE
data_KTl3Pb3
_cell_length_a 9.4213
_cell_length_b 9.4213
_cell_length_c 6.0372
_cell_angle_alpha 90.00
_cell_angle_beta 90.00
_cell_angle_gamma 120.00
_symmetry_space_group_name_H-M 'P 63/m'
_symmetry_Int_Tables_number 176
_symmetry_space_group_name_Hall '-P 6c'
loop_
_atom_site_label
_atom_site_type_symbol
_atom_site_fract_x
_atom_site_fract_y
_atom_site_fract_z
_atom_site_occupancy
K1 K 0.3333 0.6667 0.2500 1
Tl1 Tl 0.0965 0.6447 0.7500 1
Pb1 Pb 0.0459 0.8207 0.2500 1
# E_form = -0.042 eV per atom

***

| no. | calculated volume (Å³ per cell) | energy above the most stable polymorph in this dataset (eV/atom) | E (eV per cell) |
| --- | --- | --- | --- |
| 1 | 456.0 | 0.072 | -29.85 |
| 2 | 456.7 | 0.000 | -41.75 |
| 3 | 464.1 | 0.000 | -39.23 |